# 1
# CsErHg

CsErHg after structural relaxation (GGA-PBE, Alexandria via LeMat-Bulk). Values from VASP.

```
&SYSTEM
  ibrav = 0, nat = 12, ntyp = 3
/
ATOMIC_SPECIES
Cs 132.91 Cs.upf
Er 167.26 Er.upf
Hg 200.59 Hg.upf
ATOMIC_POSITIONS crystal
Cs 0.1710 0.0000 0.0000
Cs 0.1710 0.5000 0.5000
Cs 0.8290 0.0000 0.0000
Cs 0.8290 0.5000 0.5000
Er 0.3859 0.0000 0.3367
Er 0.3859 0.5000 0.8367
Er 0.6141 0.0000 0.3367
Er 0.6141 0.5000 0.8367
Hg 0.0000 0.0000 0.3322
Hg 0.0000 0.5000 0.8322
Hg 0.5000 0.0000 0.0036
Hg 0.5000 0.5000 0.5036
CELL_PARAMETERS angstrom
17.5793 0.0000 0.0000
0.0000 3.9996 0.0000
0.0000 0.0000 6.9300
```

- energy of formation from the pure elements (eV per atom) = 0.137
- SG = Amm2

***

# 2
# Cs2ErHgI6

Cs2ErHgI6 after structural relaxation (GGA-PBE, Alexandria via LeMat-Bulk). Values from VASP.

```
&SYSTEM
  ibrav = 0, nat = 20, ntyp = 4
/
ATOMIC_SPECIES
Cs 132.91 Cs.upf
Er 167.26 Er.upf
Hg 200.59 Hg.upf
I 126.90 I.upf
ATOMIC_POSITIONS crystal
Cs 0.2500 0.9997 0.2483
Cs 0.2500 0.5003 0.2483
Cs 0.7500 0.0003 0.7517
Cs 0.7500 0.4997 0.7517
Er 0.2500 0.2500 0.7526
Er 0.7500 0.7500 0.2474
Hg 0.2500 0.7500 0.7470
Hg 0.7500 0.2500 0.2530
I 0.0091 0.2500 0.5121
I 0.0095 0.2500 0.9933
I 0.2500 0.0090 0.7530
I 0.2500 0.4910 0.7530
I 0.4905 0.2500 0.9933
I 0.4909 0.2500 0.5121
I 0.5091 0.7500 0.4879
I 0.5095 0.7500 0.0067
I 0.7500 0.5090 0.2470
I 0.7500 0.9910 0.2470
I 0.9905 0.7500 0.0067
I 0.9909 0.7500 0.4879
CELL_PARAMETERS angstrom
8.8350 0.0000 0.0000
0.0000 12.4864 0.0000
0.0000 0.0000 8.8388
```

- E (eV per atom) = -2.7530
- SG = Pmmn